w:
Here is an optimized crystal structure of HoCd2Hg6 from the Alexandria database. Energies are from GGA-PBE.

Output
N(E_F): 4.39 states/eV/cell
Magnetization: 0.0 μB per cell

abc: 6.4265 6.4265 7.9693
angles: 66.22 66.22 60.00
Last column: nearest neighbours and their distance in Å.
Atoms (fractional coordinates):
1 Ho 0.3208 0.3208 0.0376  6 Hg 3.01-3.02
2 Cd 0.7635 0.7635 0.7094  1 Cd 2.87, 6 Hg 3.00-3.18
3 Cd 0.6281 0.6281 0.1158  1 Cd 2.87, 3 Hg 2.99
4 Hg 0.7782 0.2892 0.7097  1 Cd 3.00, 1 Ho 3.02, 3 Hg 3.09-3.11
5 Hg 0.2229 0.7782 0.7097  1 Cd 3.00, 1 Ho 3.02, 3 Hg 3.09-3.11
6 Hg 0.2892 0.2229 0.7097  1 Cd 3.00, 1 Ho 3.02, 3 Hg 3.09-3.11
7 Hg 0.1414 0.5873 0.3371  2 Cd 2.99-3.18, 1 Ho 3.01, 3 Hg 3.11-3.12
8 Hg 0.9342 0.1414 0.3371  2 Cd 2.99-3.18, 1 Ho 3.01, 3 Hg 3.11-3.12
9 Hg 0.5873 0.9342 0.3371  2 Cd 2.99-3.18, 1 Ho 3.01, 3 Hg 3.11-3.12

***

x:
Here is an optimized crystal structure of HoCd2Hg6 from the Alexandria database. Energies are from GGA-PBE.

Output
N(E_F): 3.24 states/eV/cell
Magnetization: 0.0 μB per cell

abc: 5.1384 5.1381 9.6213
angles: 90.03 90.00 120.00
Last column: nearest neighbours and their distance in Å.
Atoms (fractional coordinates):
1 Ho 0.0000 0.0000 0.5000  8 Hg 3.16-3.24, 6 Cd 3.48
2 Cd 0.3333 0.6667 0.6883  8 Hg 3.01-3.28
3 Cd 0.6667 0.3333 0.3117  8 Hg 3.01-3.28
4 Hg 0.6667 0.3333 0.9712  7 Hg 3.02-3.27, 1 Cd 3.28
5 Hg 0.3333 0.6667 0.0288  7 Hg 3.02-3.27, 1 Cd 3.28
6 Hg 0.0000 0.9999 0.1715  1 Ho 3.16, 3 Cd 3.26, 10 Hg 3.27-3.54
7 Hg 0.3333 0.6667 0.3656  4 Cd 3.01-3.11, 3 Ho 3.24, 1 Hg 3.24
8 Hg 0.0000 0.0001 0.8285  1 Ho 3.16, 3 Cd 3.26, 10 Hg 3.27-3.54
9 Hg 0.6667 0.3333 0.6344  4 Cd 3.01-3.11, 3 Ho 3.24, 1 Hg 3.24

***

Which structure is most stable? x, by 0.112 eV/atom over the runner-up.